VASP calculation (GGA-PBE) on a relaxed Hf3TaF crystal.

Cell: 5.1504 5.1504 5.1504 Å, 90.00 90.00 90.00°
With the nearest neighbours (Å) after each atom.
Fractional positions:
Hf: 0.5000 0.0000 0.0000  2 Ta 2.58
Hf: 0.0000 0.0000 0.5000  2 Ta 2.58
Hf: 0.0000 0.5000 0.0000  2 Ta 2.58
F: 0.5000 0.5000 0.5000  12 Hf 3.64
Ta: 0.0000 0.0000 0.0000  6 Hf 2.58

Output
**E_form (uncorrected)**: 0.96 eV/atom
**Calculated volume**: 27.325 A^3/atom

=====

VASP calculation (GGA-PBE) on a relaxed HfTaF2 crystal.

Cell: 4.1154 4.1154 7.7018 Å, 74.50 74.50 90.00°
With the nearest neighbours (Å) after each atom.
Fractional positions:
Ta: 0.0000 0.0000 0.0000  4 F 2.30
F: 0.1243 0.6250 0.2500  2 Ta 2.30, 2 Hf 2.30
F: 0.6257 0.1250 0.2500  2 Ta 2.30, 2 Hf 2.30
Hf: 0.2500 0.7500 0.5000  4 F 2.30
Ta: 0.7500 0.2500 0.5000  4 F 2.30
F: 0.3750 0.3743 0.7500  2 Ta 2.30, 2 Hf 2.30
F: 0.8750 0.8757 0.7500  2 Ta 2.30, 2 Hf 2.30
Hf: 0.5000 0.5000 0.0000  4 F 2.30

Output
**E_form (uncorrected)**: -1.01 eV/atom
**Calculated volume**: 15.097 A^3/atom

=====

VASP calculation (GGA-PBE) on a relaxed HfTaF2 crystal.

Cell: 4.3651 4.3651 4.3651 Å, 60.00 60.00 60.00°
With the nearest neighbours (Å) after each atom.
Fractional positions:
F: 0.2500 0.2500 0.2500  4 Hf 2.67, 4 Ta 2.67
F: 0.7500 0.7500 0.7500  4 Hf 2.67, 4 Ta 2.67
Hf: 0.0000 0.0000 0.0000  8 F 2.67
Ta: 0.5000 0.5000 0.5000  8 F 2.67

Output
**E_form (uncorrected)**: -0.41 eV/atom
**Calculated volume**: 14.703 A^3/atom

=====

VASP calculation (GGA-PBE) on a relaxed HfTa2F crystal.

Cell: 4.6376 4.6376 4.6376 Å, 60.00 60.00 60.00°
With the nearest neighbours (Å) after each atom.
Fractional positions:
Ta: 0.7500 0.7500 0.7500  4 Hf 2.84, 4 F 2.84
F: 0.0000 0.0000 0.0000  8 Ta 2.84
Ta: 0.2500 0.2500 0.2500  4 Hf 2.84, 4 F 2.84
Hf: 0.5000 0.5000 0.5000  8 Ta 2.84

Output
**E_form (uncorrected)**: 0.50 eV/atom
**Calculated volume**: 17.632 A^3/atom